# La2HoAl12Pd3 | the Alexandria database | PBE | relaxed
data_La2HoAl12Pd3
_cell_length_a 8.7253
_cell_length_b 8.7253
_cell_length_c 18.7296
_cell_angle_alpha 90.00
_cell_angle_beta 90.00
_cell_angle_gamma 120.00
_space_group_name_H-M_alt 'R -3 m'
_space_group_IT_number 166
_space_group_name_Hall '-R 3 2"'
loop_
_atom_site_label
_atom_site_fract_x
_atom_site_fract_y
_atom_site_fract_z
La1 0.0000 0.0000 0.0788
Ho1 0.0000 0.0000 0.5000
Al1 0.0595 0.5297 0.2974
Al2 0.0917 0.5458 0.8736
Pd1 0.0000 0.5000 0.0000
# - density of states at the Fermi level (states/eV/atom) = 0.498
# - calculated formation energy (eV/f.u.) = -1.1

# LaHo2AlPd4 | the Alexandria database | PBE | relaxed
data_LaHo2AlPd4
_cell_length_a 4.7998
_cell_length_b 4.7998
_cell_length_c 25.1339
_cell_angle_alpha 90.00
_cell_angle_beta 90.00
_cell_angle_gamma 120.00
_space_group_name_H-M_alt 'R -3 m'
_space_group_IT_number 166
_space_group_name_Hall '-R 3 2"'
loop_
_atom_site_label
_atom_site_fract_x
_atom_site_fract_y
_atom_site_fract_z
La1 0.0000 0.0000 0.0000
Ho1 0.0000 0.0000 0.2409
Al1 0.0000 0.0000 0.5000
Pd1 0.0000 0.0000 0.1300
Pd2 0.0000 0.0000 0.3962
# - density of states at the Fermi level (states/eV/atom) = 0.739
# - calculated formation energy (eV/f.u.) = -6.6